{
  "formula": "Dy2H2I3Br",
  "functional": "PBE-GGA",
  "state": "optimized geometry",
  "final_energy_ev_per_atom": -4.0469,
  "total_magnetization_mub_per_fu": 0.001,
  "space_group": "P3m1 (156)",
  "cell": [[3.956, 0.000, 0.000], [-1.978, 3.426, 0.000], [0.000, 0.000, 15.779]],
  "species": ["Dy", "Dy", "H", "H", "I", "I", "I", "Br"],
  "fractional_positions": [[0.000, 0.000, 0.000], [0.000, 0.000, 0.494], [0.333, 0.667, 0.498], [0.667, 0.333, 0.000], [0.333, 0.667, 0.135], [0.333, 0.667, 0.865], [0.667, 0.333, 0.629], [0.667, 0.333, 0.376]]
}